VASP calculation (PBE) on crystalline Ac2Sc at its relaxed geometry.

- offset from the most stable computed form (meV per atom) = 0
- raw total energy (eV per atom) = -4.74
- energy relative to the elements (meV/atom) = 107
- V (Å³/f.u.) = 113.00

Lattice parameters (Å, degrees): 3.9070 3.9070 7.9015 104.31 104.31 90.00
Atoms (fractional coordinates):
Ac  0.6533  0.6533  0.3066
Ac  0.3467  0.3467  0.6934
Sc  0.0000  0.0000  0.0000